{
  "formula": "K2AcCr2O7",
  "functional": "PBE+U",
  "state": "optimized geometry",
  "volume_a3_per_cell": 233,
  "final_energy_ry_per_atom": -0.48582,
  "magmom_total_mub_per_atom": 0.250,
  "lattice": [[-2.490, -5.086, -1.694], [2.561, -5.147, 1.374], [-3.979, -3.645, 6.478]],
  "species": ["K", "K", "Ac", "Cr", "Cr", "O", "O", "O", "O", "O", "O", "O"],
  "fractional_positions": [[0.707, 0.707, 0.879], [0.293, 0.293, 0.121], [0.500, 0.500, 0.500], [0.922, 0.922, 0.234], [0.078, 0.078, 0.766], [0.210, 0.849, 0.293], [0.647, 0.210, 0.293], [0.849, 0.647, 0.293], [0.353, 0.151, 0.707], [0.790, 0.353, 0.707], [0.000, 0.000, 0.000], [0.151, 0.790, 0.707]]
}